1.
First-principles (GGA-PBE) data for crystalline Y2Ga3Ag at its relaxed geometry, as listed in Alexandria via LeMat-Bulk.

a = 4.4896 Å, b = 5.7378 Å, c = 5.7636 Å
α = 77.82°, β = 67.08°, γ = 66.97°
Fractional coordinates of all 6 atoms:
Y  0.5326  0.2172  0.7175
Y  0.4639  0.7835  0.2888
Ga  0.8355  0.6194  0.7096
Ga  0.8391  0.2003  0.1215
Ga  0.1627  0.7980  0.8766
Ag  0.1662  0.3818  0.2859

Values from the calculation:
**Total DFT energy (no corrections)**: -4.73 eV/atom
**Distance to the lowest polymorph of the same formula**: 6.7 meV/atom
**E_form**: -0.5835 eV per atom
**Space-group type**: Cm
**Total magnetization**: 0.004 μB per formula unit
**N(E_F)**: 0.65 states/eV per atom

=====

2.
First-principles (GGA-PBE) data for crystalline Sm8Y6Tl at its relaxed geometry, as listed in Alexandria via LeMat-Bulk.

a = 6.4824 Å, b = 9.4177 Å, c = 9.4177 Å
α = 120.00°, β = 90.00°, γ = 90.00°
Fractional coordinates of all 15 atoms:
Sm  0.8184  0.0424  0.2696
Sm  0.8184  0.7304  0.7728
Sm  0.8184  0.2272  0.9576
Sm  0.1816  0.9576  0.7304
Sm  0.1816  0.2696  0.2272
Sm  0.1816  0.7728  0.0424
Sm  0.8269  0.3333  0.6667
Sm  0.1731  0.6667  0.3333
Y  0.6728  0.6459  0.0961
Y  0.6728  0.9039  0.5499
Y  0.6728  0.4501  0.3541
Y  0.3272  0.3541  0.9039
Y  0.3272  0.0961  0.4501
Y  0.3272  0.5499  0.6459
Tl  0.5000  0.0000  0.0000

Values from the calculation:
**Total DFT energy (no corrections)**: -5.18 eV/atom
**E_form**: 0.0825 eV per atom
**Space-group type**: P-3
**Total magnetization**: 0.000 μB per formula unit
**N(E_F)**: 1.31 states/eV per atom

=====

3.
First-principles (GGA-PBE) data for crystalline PuZr2Ru3 at its relaxed geometry, as listed in Alexandria via LeMat-Bulk.

a = 3.2789 Å, b = 3.2789 Å, c = 10.1557 Å
α = 90.00°, β = 90.00°, γ = 90.00°
Site moments in Bohr magnetons follow the coordinates.
Fractional coordinates of all 6 atoms:
Pu  0.5000  0.5000  0.5000  4.94
Zr  0.5000  0.5000  0.8370  0.09
Zr  0.5000  0.5000  0.1630  0.09
Ru  0.0000  0.0000  0.0000  -0.05
Ru  0.0000  0.0000  0.6798  -0.30
Ru  0.0000  0.0000  0.3202  -0.30

Values from the calculation:
**Total DFT energy (no corrections)**: -10.32 eV/atom
**E_form**: -0.4395 eV per atom
**Space-group type**: P4/mmm
**Total magnetization**: 4.720 μB per formula unit
**N(E_F)**: 1.32 states/eV per atom

=====

4.
First-principles (GGA-PBE) data for crystalline Bi2AsPd2 at its relaxed geometry, as listed in Alexandria via LeMat-Bulk.

a = 3.8776 Å, b = 3.8776 Å, c = 8.1649 Å
α = 76.26°, β = 76.26°, γ = 90.00°
Fractional coordinates of all 5 atoms:
As  0.0000  0.0000  0.0000
Bi  0.3873  0.3873  0.2253
Bi  0.6127  0.6127  0.7747
Pd  0.7500  0.2500  0.5000
Pd  0.2500  0.7500  0.5000

Values from the calculation:
**Total DFT energy (no corrections)**: -4.55 eV/atom
**Distance to the lowest polymorph of the same formula**: 131.0 meV/atom
**E_form**: 0.0127 eV per atom
**Space-group type**: I4/mmm
**Total magnetization**: 0.000 μB per formula unit
**N(E_F)**: 0.59 states/eV per atom